Record 1
PuTiGaO6, relaxed, DFT PBE; uncorrected energy = -8.509 eV/atom; spin magnetization = 3.0 μB/f.u.; mass density = 7.2 Mg/m³; SG = P-31c (163)
1.0
5.277 0.000 0.000
-2.638 4.570 0.000
0.000 0.000 8.727
Pu Ti Ga O
2 2 2 12
direct
0.333 0.667 0.250
0.667 0.333 0.750
0.333 0.667 0.750
0.667 0.333 0.250
0.000 0.000 0.000
0.000 0.000 0.500
0.021 0.342 0.628
0.021 0.679 0.872
0.321 0.342 0.872
0.321 0.979 0.628
0.342 0.021 0.128
0.342 0.321 0.372
0.658 0.679 0.628
0.658 0.979 0.872
0.679 0.021 0.372
0.679 0.658 0.128
0.979 0.321 0.128
0.979 0.658 0.372

Record 2
PuTlGaO6, relaxed, DFT PBE; uncorrected energy = -7.190 eV/atom; spin magnetization = 2.0 μB/f.u.; mass density = 8.5 Mg/m³; SG = P-31c (163)
1.0
5.345 0.000 0.000
-2.672 4.629 0.000
0.000 0.000 9.729
Pu Tl Ga O
2 2 2 12
direct
0.333 0.667 0.250
0.667 0.333 0.750
0.000 0.000 0.000
0.000 0.000 0.500
0.333 0.667 0.750
0.667 0.333 0.250
0.007 0.359 0.637
0.007 0.649 0.863
0.351 0.359 0.863
0.351 0.993 0.637
0.359 0.007 0.137
0.359 0.351 0.363
0.641 0.649 0.637
0.641 0.993 0.863
0.649 0.007 0.363
0.649 0.641 0.137
0.993 0.351 0.137
0.993 0.641 0.363

Record 3
PuTl2GaO8, relaxed, DFT PBE; uncorrected energy = -6.542 eV/atom; spin magnetization = 1.0 μB/f.u.; mass density = 7.8 Mg/m³; SG = P-1 (2)
1.0
5.333 0.000 0.000
0.983 5.257 0.000
0.351 0.289 6.419
Pu Tl Ga O
1 2 1 8
direct
0.000 0.000 0.000
0.427 0.427 0.271
0.573 0.573 0.729
0.000 0.000 0.500
0.158 0.155 0.772
0.163 0.159 0.252
0.282 0.715 0.501
0.298 0.699 0.000
0.702 0.301 0.000
0.718 0.285 0.499
0.837 0.841 0.748
0.842 0.845 0.228

Record 4
PuTl2GaO6, relaxed, DFT PBE; uncorrected energy = -6.761 eV/atom; spin magnetization = 1.0 μB/f.u.; mass density = 8.8 Mg/m³; SG = R-3m (166)
1.0
3.008 1.737 9.833
-3.008 1.737 9.833
0.000 -3.473 9.833
Pu Tl Ga O
2 4 2 12
direct
0.093 0.093 0.093
0.907 0.907 0.907
0.216 0.216 0.216
0.365 0.365 0.365
0.635 0.635 0.635
0.784 0.784 0.784
0.000 0.000 0.000
0.500 0.500 0.500
0.100 0.100 0.662
0.100 0.662 0.100
0.206 0.705 0.705
0.295 0.295 0.794
0.295 0.794 0.295
0.338 0.900 0.900
0.662 0.100 0.100
0.705 0.206 0.705
0.705 0.705 0.206
0.794 0.295 0.295
0.900 0.338 0.900
0.900 0.900 0.338

Record 5
TmPuGa2O8, relaxed, DFT PBE; uncorrected energy = -7.539 eV/atom; spin magnetization = 1.0 μB/f.u.; mass density = 7.2 Mg/m³; SG = I-4m2 (119)
1.0
-3.435 3.435 3.312
3.435 -3.435 3.312
3.435 3.435 -3.312
Tm Pu Ga O
1 1 2 8
direct
0.000 0.000 0.000
0.250 0.750 0.500
0.500 0.500 0.000
0.750 0.250 0.500
0.308 0.111 0.804
0.308 0.504 0.196
0.364 0.046 0.318
0.496 0.692 0.804
0.729 0.046 0.682
0.889 0.692 0.196
0.954 0.271 0.318
0.954 0.636 0.682